Entry 1:
CsCuBiAu after structural relaxation, computed with PBE-GGA.

The space group is F-43m (No. 216) and the conventional cell measures 7.715, 7.715 and 7.715 Å, with angles of 90.00, 90.00 and 90.00 degrees. The inequivalent atoms are Cs at (0.000, 0.000, 0.000), Cu at (0.000, 0.000, 0.500), Bi at (0.250, 0.250, 0.250) and Au at (0.250, 0.250, 0.750).

The relative energy among the computed polymorphs comes out at 220 meV/atom. The volume is 459.2 Å³ per cell.

=====

Entry 2:
CsCuBiAu after structural relaxation, computed with PBE-GGA.

The space group is F-43m (No. 216) and the conventional cell measures 7.629, 7.629 and 7.629 Å, with angles of 90.00, 90.00 and 90.00 degrees. The inequivalent atoms are Cs at (0.000, 0.000, 0.000), Cu at (0.250, 0.250, 0.250), Bi at (0.000, 0.000, 0.500) and Au at (0.250, 0.250, 0.750).

The relative energy among the computed polymorphs comes out at 0 meV/atom. The volume is 444.0 Å³ per cell.

=====

Entry 3:
CsK2Bi2Au3 after structural relaxation, computed with PBE-GGA.

The space group is R-3m (No. 166, hexagonal axes) and the conventional cell measures 6.4914, 6.4914 and 22.4788 Å, with angles of 90.00, 90.00 and 120.00 degrees. The inequivalent atoms are Cs at (0.0000, 0.0000, 0.0000), K at (0.0000, 0.0000, 0.4226), Bi at (0.0000, 0.0000, 0.2587) and Au at (0.0000, 0.5000, 0.5000).

The volume is 820.3 Å³ per cell.

=====

Entry 4:
Cs2KBi2Au3 after structural relaxation, computed with PBE-GGA.

The space group is R-3m (No. 166, hexagonal axes) and the conventional cell measures 6.8616, 6.8616 and 22.7210 Å, with angles of 90.00, 90.00 and 120.00 degrees. The inequivalent atoms are Cs at (0.0000, 0.0000, 0.0811), K at (0.0000, 0.0000, 0.5000), Bi at (0.0000, 0.0000, 0.2472) and Au at (0.0000, 0.5000, 0.0000).

The volume is 926.4 Å³ per cell.

=====

What are the energy values for these records? In order: -2.382, -2.602, -3.020, -2.946 eV per atom.